This record from the Alexandria database describes a relaxed La2InCoO6 crystal. The functional is PBE with a Hubbard U.

density	7.07	Mg/m³
M_tot	0.006	μB per atom
energy	-7.078	eV per atom

```
data_La2InCoO6
_chemical_formula_sum 'La4 In2 Co2 O12'
_cell_length_a 5.617
_cell_length_b 5.728
_cell_length_c 9.716
_cell_angle_alpha 90.00
_cell_angle_beta 124.64
_cell_angle_gamma 90.00
_space_group_name_H-M_alt 'P 1 21/c 1'
_space_group_IT_number 14
loop_
_space_group_symop_operation_xyz
'x,y,z'
'-x,-y,-z'
'-x,y+1/2,-z+1/2'
'x,-y+1/2,z+1/2'
loop_
_atom_site_label
_atom_site_type_symbol
_atom_site_fract_x
_atom_site_fract_y
_atom_site_fract_z
_atom_site_occupancy
La1 La 0.237 0.047 0.249 1
In1 In 0.500 0.000 0.000 1
Co1 Co 0.000 0.000 0.500 1
O1 O 0.140 0.220 0.948 1
O2 O 0.232 0.696 0.952 1
O3 O 0.329 0.027 0.736 1
```